(1)
HfF4, single point on PBEsol structure, DFT meta-GGA SCAN; uncorrected energy = -19.401 eV per atom; crystal system = monoclinic; size of the total moment = 0.000 μB per atom
1.0
7.623 0.008 -0.009
3.431 6.818 0.012
-3.431 0.272 6.812
F Hf
24 6
Cartesian
6.283 3.471 1.779 F
1.715 3.409 0.006 F
7.801 5.740 4.080 F
3.165 1.950 4.650 F
-0.178 1.359 2.736 F
3.515 6.811 4.938 F
-0.646 2.365 5.057 F
3.634 4.308 5.567 F
8.269 4.733 1.759 F
6.099 5.673 0.439 F
5.717 4.308 4.135 F
1.906 2.790 2.681 F
9.911 6.439 1.169 F
1.524 1.426 6.377 F
7.327 1.900 0.202 F
0.297 5.198 6.614 F
5.152 1.922 3.388 F
2.096 0.140 3.402 F
1.340 3.627 5.037 F
-2.288 0.659 5.647 F
4.458 5.148 2.166 F
3.989 2.790 1.249 F
2.472 5.176 3.428 F
4.108 0.287 1.878 F
6.493 5.399 2.499 Hf
1.130 1.699 4.317 Hf
5.717 1.524 1.455 Hf
1.906 5.574 5.361 Hf
2.682 4.383 1.529 Hf
4.942 2.715 5.287 Hf

(2)
HfHgRuF2, single point on PBEsol structure, DFT meta-GGA SCAN; uncorrected energy = -34.323 eV per atom; crystal system = tetragonal; size of the total moment = 0.092 μB per atom
1.0
4.058 0.000 0.000
0.000 4.058 0.000
0.000 0.000 6.347
Ru F Hg Hf
1 2 1 1
Cartesian
2.029 2.029 3.174 Ru
2.029 0.000 0.000 F
0.000 2.029 0.000 F
0.000 0.000 0.000 Hg
0.000 0.000 3.174 Hf

(3)
HfSn2HgF, single point on PBEsol structure, DFT meta-GGA SCAN; uncorrected energy = -40.956 eV per atom; crystal system = tetragonal; size of the total moment = 0.002 μB per atom
1.0
-5.105 0.121 -1.670
1.268 -3.410 -4.124
-1.153 -4.313 3.212
F Hf Sn Hg
1 1 2 1
Cartesian
-2.495 -3.801 -1.291 F
0.000 0.000 0.000 Hf
-0.576 -2.157 1.606 Sn
0.634 -1.705 -2.062 Sn
-2.553 0.061 -0.835 Hg

(4)
HfTc2HgF, single point on PBEsol structure, DFT meta-GGA SCAN; uncorrected energy = -40.601 eV per atom; crystal system = tetragonal; size of the total moment = 0.359 μB per atom
1.0
-2.133 -2.690 2.235
3.209 -0.464 2.504
-1.613 3.544 2.725
Tc F Hf Hg
2 1 1 1
Cartesian
1.605 -0.232 1.252 Tc
-1.067 -1.345 1.118 Tc
0.000 0.000 0.000 F
-0.269 0.195 3.732 Hf
-0.807 1.772 1.362 Hg

(5)
HfMg2IF, single point on PBEsol structure, DFT meta-GGA SCAN; uncorrected energy = -22.011 eV per atom; crystal system = tetragonal; size of the total moment = 0.000 μB per atom
1.0
4.300 0.000 0.000
0.000 5.617 0.000
0.000 0.000 5.617
I Hf Mg F
1 1 2 1
Cartesian
0.000 0.000 0.000 I
2.150 2.808 2.808 Hf
0.000 2.808 0.000 Mg
0.000 0.000 2.808 Mg
2.150 0.000 0.000 F

(6)
HfIN2F, single point on PBEsol structure, DFT meta-GGA SCAN; uncorrected energy = -23.066 eV per atom; crystal system = tetragonal; size of the total moment = 0.000 μB per atom
1.0
-1.597 3.829 0.551
-1.181 0.085 -4.014
-3.762 -1.724 1.071
Hf N I F
1 2 1 1
Cartesian
-3.271 1.095 -1.196 Hf
-0.799 1.915 0.276 N
-0.591 0.043 -2.007 N
0.000 0.000 0.000 I
-1.881 -0.862 0.535 F